The following is a GGA-PBE calculation of a geometry-optimized Er2Zr3Sc3 structure, from the Alexandria database.

Cell: 3.3705 8.2832 8.2832 Å, 120.10 90.00 90.00°
Last column: magnetic moment on the atom in μB.
Fractional positions:
Er  0.0000  0.6665  0.3335  0.03
Er  0.0000  0.3335  0.6665  0.03
Zr  0.0000  0.0005  0.7705  0.11
Zr  0.0000  0.7705  0.0005  0.11
Zr  0.0000  0.2293  0.2293  0.11
Sc  0.5000  0.9998  0.3895  0.01
Sc  0.5000  0.3895  0.9998  0.01
Sc  0.5000  0.6104  0.6104  0.01

- size of the total moment (μB/f.u.) = 0.62
- DFT formation energy (eV/atom) = 0.200
- symmetry = Amm2, No. 38
- DFT total energy (Ry per atom) = -0.4793